# 1
Material: ScCu2
Method: DFT, meta-GGA SCAN
State: single point on PBEsol structure

**Energy relative to the elements**: -0.1849 eV per atom
**DOS(E_F)**: 0.6219 states/eV per atom

Cell: 4.3999 4.3999 5.2718 Å, 90.00 90.00 120.00°
Space group P6_3/mmc (No. 194)
Asymmetric unit:
Sc 0.3333 0.6667 0.2500 (multiplicity 2)
Cu 0.0000 0.0000 0.0000 (multiplicity 2)
Cu 0.3333 0.6667 0.7500 (multiplicity 2)

# 2
Material: MnZnPt2
Method: DFT, meta-GGA SCAN
State: single point on PBEsol structure

**Energy relative to the elements**: -0.7040 eV per atom
**DOS(E_F)**: 0.2955 states/eV per atom

Cell: 5.664 6.909 2.876 Å, 90.00 90.00 90.00°
Space group Cmmm (No. 65)
Asymmetric unit:
Mn 0.000 0.000 0.000 (multiplicity 2)
Zn 0.000 0.500 0.000 (multiplicity 2)
Pt 0.250 0.250 0.500 (multiplicity 4)

Question: Which value of energy relative to the elements does entry 2 give?
Answer: -0.7040 eV per atom